Na5FeHO4 after structural relaxation. Source: Alexandria via LeMat-Bulk, functional PBE with a Hubbard U.

Cell lengths 10.021, 10.250, 11.982 Å; angles 90.00, 90.00, 90.00 degrees
Fractional coordinates of all 88 atoms:
Fe 0.202 0.250 0.615
Fe 0.798 0.750 0.385
Na 0.003 0.909 0.215
O 0.393 0.250 0.610
H 0.747 0.371 0.698
O 0.107 0.750 0.110
H 0.253 0.871 0.302
O 0.747 0.418 0.626
Fe 0.018 0.250 0.207
Na 0.926 0.566 0.586
Na 0.388 0.750 0.479
Fe 0.298 0.750 0.115
Na 0.714 0.918 0.824
H 0.753 0.629 0.198
Na 0.497 0.409 0.715
H 0.247 0.129 0.802
Fe 0.518 0.250 0.293
Na 0.612 0.250 0.521
O 0.253 0.918 0.374
Na 0.872 0.063 0.014
Na 0.926 0.934 0.586
Na 0.786 0.082 0.324
Na 0.997 0.409 0.785
O 0.936 0.904 0.874
O 0.936 0.596 0.874
O 0.596 0.404 0.893
Na 0.628 0.563 0.514
O 0.564 0.404 0.374
Na 0.372 0.437 0.486
Fe 0.982 0.750 0.793
Na 0.503 0.909 0.285
Na 0.003 0.591 0.215
Na 0.372 0.063 0.486
O 0.436 0.904 0.626
Na 0.574 0.434 0.086
O 0.096 0.404 0.607
Na 0.872 0.437 0.014
Na 0.286 0.418 0.176
Na 0.074 0.066 0.414
Na 0.586 0.750 0.055
O 0.564 0.096 0.374
H 0.753 0.871 0.198
O 0.443 0.250 0.146
O 0.096 0.096 0.607
Na 0.497 0.091 0.715
O 0.557 0.750 0.854
O 0.064 0.404 0.126
Na 0.286 0.082 0.176
Na 0.997 0.091 0.785
Na 0.074 0.434 0.414
O 0.904 0.596 0.393
Na 0.888 0.750 0.021
O 0.753 0.582 0.126
Na 0.112 0.250 0.979
H 0.247 0.371 0.802
O 0.893 0.250 0.890
O 0.747 0.082 0.626
Na 0.503 0.591 0.285
Na 0.426 0.566 0.914
Na 0.214 0.582 0.676
O 0.607 0.750 0.390
Na 0.574 0.066 0.086
O 0.404 0.596 0.107
Na 0.714 0.582 0.824
H 0.253 0.629 0.302
O 0.904 0.904 0.393
Na 0.628 0.937 0.514
O 0.943 0.250 0.354
O 0.057 0.750 0.646
Na 0.086 0.750 0.445
Na 0.128 0.563 0.986
O 0.253 0.582 0.374
Na 0.214 0.918 0.676
Na 0.426 0.934 0.914
O 0.596 0.096 0.893
O 0.247 0.418 0.874
O 0.753 0.918 0.126
Fe 0.702 0.250 0.885
O 0.436 0.596 0.626
Na 0.128 0.937 0.986
H 0.747 0.129 0.698
O 0.064 0.096 0.126
Na 0.914 0.250 0.555
Na 0.786 0.418 0.324
O 0.247 0.082 0.874
O 0.404 0.904 0.107
Fe 0.482 0.750 0.707
Na 0.414 0.250 0.945

magnetization: 3.981 μB per formula unit
SG: Pnma
final energy: -4.563 eV/atom